No. 1
This record from the Alexandria database describes crystalline BaSn2W at its relaxed geometry. The functional is PBE.

Unit cell a=5.9724 b=5.9724 c=17.3097 alpha=90.00 beta=90.00 gamma=90.00
With the nearest neighbours (Å) after each atom.
Space group I4_1/amd (No. 141, origin choice 2)
Unique sites:
Ba 0.0000 0.2500 0.3750 (multiplicity 4)  8 Sn 3.98, 4 W 4.22
Sn 0.0000 0.0000 0.0000 (multiplicity 8)  2 W 2.63
W 0.0000 0.2500 0.8750 (multiplicity 4)  4 Sn 2.63

## Properties
Energy of formation   446 meV/atom
Crystal system   tetragonal
Density of states at the Fermi level   3.6 states/eV/f.u.
Energy   -5.274 eV per atom

---

No. 2
This record from the Alexandria database describes crystalline BaY3Sn at its relaxed geometry. The functional is PBE.

Unit cell a=5.6514 b=5.6514 c=5.6514 alpha=90.00 beta=90.00 gamma=90.00
With the nearest neighbours (Å) after each atom.
Space group Pm-3m (No. 221)
Unique sites:
Ba 0.0000 0.0000 0.0000 (multiplicity 1)  6 Y 2.83
Y 0.0000 0.0000 0.5000 (multiplicity 3)  2 Ba 2.83
Sn 0.5000 0.5000 0.5000 (multiplicity 1)  12 Y 4.00

## Properties
Energy of formation   995 meV/atom
Crystal system   cubic
Density of states at the Fermi level   4.4 states/eV/f.u.
Energy   -4.069 eV per atom

---

No. 3
This record from the Alexandria database describes crystalline BaY3Sn at its relaxed geometry. The functional is PBE.

Unit cell a=5.9035 b=5.9035 c=5.9035 alpha=90.00 beta=90.00 gamma=90.00
With the nearest neighbours (Å) after each atom.
Space group Pm-3m (No. 221)
Unique sites:
Ba 0.0000 0.0000 0.0000 (multiplicity 1)  12 Y 4.17
Y 0.0000 0.5000 0.5000 (multiplicity 3)  2 Sn 2.95
Sn 0.5000 0.5000 0.5000 (multiplicity 1)  6 Y 2.95

## Properties
Energy of formation   85 meV/atom
Crystal system   cubic
Density of states at the Fermi level   11.0 states/eV/f.u.
Energy   -4.979 eV per atom

---

No. 4
This record from the Alexandria database describes crystalline Ba2YSn2 at its relaxed geometry. The functional is PBE.

Unit cell a=8.3610 b=8.3610 c=5.4517 alpha=90.00 beta=90.00 gamma=90.00
With the nearest neighbours (Å) after each atom.
Space group P4/mbm (No. 127)
Unique sites:
Ba 0.1683 0.3317 0.0000 (multiplicity 4)  6 Sn 3.63-3.70, 1 Ba 3.98
Y 0.0000 0.0000 0.5000 (multiplicity 2)  4 Sn 3.29
Sn 0.1287 0.6287 0.5000 (multiplicity 4)  1 Sn 3.04, 2 Y 3.29

## Properties
Energy of formation   -555 meV/atom
Crystal system   tetragonal
Density of states at the Fermi level   1.1 states/eV/f.u.
Energy   -4.218 eV per atom

---

No. 5
This record from the Alexandria database describes crystalline Ba2YSn at its relaxed geometry. The functional is PBE.

Unit cell a=10.0438 b=10.0438 c=6.7406 alpha=90.00 beta=90.00 gamma=90.00
With the nearest neighbours (Å) after each atom.
Space group I-42d (No. 122)
Unique sites:
Ba 0.2078 0.2500 0.1250 (multiplicity 8)  2 Sn 3.37, 2 Ba 3.48
Y 0.0000 0.0000 0.5000 (multiplicity 4)  2 Sn 3.37
Sn 0.0000 0.0000 0.0000 (multiplicity 4)  2 Y 3.37, 4 Ba 3.37

## Properties
Energy of formation   46 meV/atom
Crystal system   tetragonal
Density of states at the Fermi level   5.7 states/eV/f.u.
Energy   -3.532 eV per atom

---

No. 6
This record from the Alexandria database describes crystalline BaZn3Sn at its relaxed geometry. The functional is PBE.

Unit cell a=5.3251 b=5.3251 c=5.3251 alpha=90.00 beta=90.00 gamma=90.00
With the nearest neighbours (Å) after each atom.
Space group Pm-3m (No. 221)
Unique sites:
Ba 0.0000 0.0000 0.0000 (multiplicity 1)  12 Zn 3.77
Zn 0.0000 0.5000 0.5000 (multiplicity 3)  2 Sn 2.66
Sn 0.5000 0.5000 0.5000 (multiplicity 1)  6 Zn 2.66

## Properties
Energy of formation   102 meV/atom
Crystal system   cubic
Density of states at the Fermi level   3.0 states/eV/f.u.
Energy   -1.847 eV per atom